First-principles (GGA+U) data for a relaxed TlCoSeO crystal, as listed in OQMD.

Cell lengths 5.766, 5.630, 10.980 Å; angles 90.00, 105.86, 90.00 degrees
Fractional positions:
1 Se 0.637 0.790 0.290
2 Se 0.786 0.298 0.714
3 Se 0.363 0.290 0.710
4 Se 0.214 0.798 0.286
5 O 0.252 0.555 0.987
6 O 0.748 0.055 0.013
7 O 0.232 0.045 0.982
8 O 0.768 0.545 0.018
9 Co 0.487 0.311 0.959
10 Co 0.513 0.811 0.041
11 Co 0.011 0.812 0.041
12 Co 0.989 0.312 0.959
13 Tl 0.087 0.802 0.771
14 Tl 0.535 0.288 0.413
15 Tl 0.465 0.788 0.587
16 Tl 0.913 0.302 0.229

* total magnetization: 2.99 μB per formula unit
* energy above the lowest structure with this stoichiometry: 10.8 meV/atom